The following is a PBE+U calculation of a relaxed Cs2NdCo2O6 crystal, from the Alexandria database.

Cell lengths 6.341, 6.341, 7.065 Å; angles 63.33, 63.33, 60.00 degrees
Each line ends with the local moment (μB).
Element x y z (fractional)
O: 0.274 0.747 0.232  0.41
O: 0.253 0.726 0.768  0.41
Nd: 0.000 0.000 0.000  0.09
Cs: 0.777 0.777 0.670  0.00
Co: 0.573 0.573 0.281  2.93
Cs: 0.223 0.223 0.330  0.00
O: 0.726 0.253 0.768  0.41
O: 0.747 0.747 0.232  0.41
O: 0.747 0.274 0.232  0.41
Co: 0.427 0.427 0.719  2.93
O: 0.253 0.253 0.768  0.41

Fermi-level density of states   0.4 states/eV per cell
Total magnetization   9.016 μB/f.u.
Calculated total energy   -5.7889 eV/atom

---

The following is a PBE+U calculation of a relaxed Cs4Nd3CoO8 crystal, from the Alexandria database.

Cell lengths 7.061, 7.941, 7.418 Å; angles 114.94, 118.42, 90.00 degrees
Each line ends with the local moment (μB).
Element x y z (fractional)
O: 0.177 0.642 0.937  0.18
Cs: 0.500 0.000 0.500  0.00
Nd: 0.500 0.500 0.000  0.01
O: 0.823 0.358 0.063  0.18
O: 0.289 0.330 0.579  0.00
O: 0.729 0.291 0.459  0.01
Cs: 0.000 0.000 0.000  0.00
O: 0.759 0.642 0.937  0.18
Cs: 0.500 0.000 0.000  0.01
Cs: 0.000 0.000 0.500  0.00
Co: 0.000 0.500 0.000  3.01
Nd: 0.000 0.500 0.500  0.01
O: 0.711 0.670 0.421  0.00
Nd: 0.500 0.500 0.500  0.01
O: 0.241 0.358 0.063  0.18
O: 0.271 0.709 0.541  0.01

Total magnetization   3.975 μB/f.u.
Calculated total energy   -5.9232 eV/atom

---

The following is a PBE+U calculation of a relaxed CsNdCoO3 crystal, from the Alexandria database.

Cell lengths 3.784, 8.184, 8.964 Å; angles 111.67, 90.00, 90.00 degrees
Each line ends with the local moment (μB).
Element x y z (fractional)
O: 0.250 0.140 0.849  0.02
O: 0.750 0.475 0.128  0.00
O: 0.250 0.934 0.399  -0.02
Cs: 0.750 0.797 0.795  0.00
Co: 0.250 0.043 0.625  1.00
O: 0.250 0.525 0.872  0.00
Nd: 0.750 0.331 0.853  0.00
Nd: 0.250 0.669 0.147  0.00
Co: 0.750 0.957 0.375  1.00
O: 0.750 0.860 0.151  0.02
O: 0.750 0.066 0.601  -0.02
Cs: 0.250 0.203 0.205  0.00

Total magnetization   1.000 μB/f.u.
Calculated total energy   -6.1972 eV/atom

---

The following is a PBE+U calculation of a relaxed CsNdCoO4 crystal, from the Alexandria database.

Cell lengths 5.827, 5.899, 9.800 Å; angles 90.00, 124.43, 90.00 degrees
Each line ends with the local moment (μB).
Element x y z (fractional)
Cs: 0.644 0.750 0.896  0.01
O: 0.070 0.015 0.671  0.32
Co: 0.858 0.250 0.660  3.10
Nd: 0.237 0.250 0.535  0.01
O: 0.717 0.250 0.781  0.43
O: 0.553 0.250 0.452  0.43
O: 0.447 0.750 0.548  0.43
O: 0.283 0.750 0.219  0.43
O: 0.930 0.515 0.329  0.32
Nd: 0.763 0.750 0.465  0.01
O: 0.070 0.485 0.671  0.32
Cs: 0.356 0.250 0.104  0.01
O: 0.930 0.985 0.329  0.32
Co: 0.142 0.750 0.340  3.10

Total magnetization   5.000 μB/f.u.
Calculated total energy   -6.2372 eV/atom

---

The following is a PBE+U calculation of a relaxed Cs2NdCoO4 crystal, from the Alexandria database.

Cell lengths 5.867, 7.133, 12.461 Å; angles 84.45, 76.39, 65.72 degrees
Each line ends with the local moment (μB).
Element x y z (fractional)
Cs: 0.187 0.000 0.626  0.00
O: 0.914 0.677 0.572  0.22
Co: 0.500 0.000 0.000  2.92
O: 0.587 0.177 0.072  0.22
O: 0.836 0.823 0.928  0.22
Cs: 0.937 0.500 0.126  0.00
O: 0.341 0.823 0.072  0.22
Nd: 0.000 0.000 0.000  0.01
Nd: 0.750 0.500 0.500  0.01
O: 0.163 0.323 0.428  0.22
Cs: 0.813 0.000 0.374  0.00
O: 0.236 0.177 0.928  0.22
Cs: 0.563 0.500 0.874  0.00
Co: 0.250 0.500 0.500  2.92
O: 0.409 0.677 0.428  0.22
O: 0.514 0.323 0.572  0.22

Total magnetization   4.065 μB/f.u.
Calculated total energy   -5.5030 eV/atom

---

Question: Look up the total magnetization of the fifth one.
Answer: 4.065 μB/f.u.